VASP calculation (PBE) on an optimized crystal structure of RbBaCdS2.

## Properties
Total moment, μB/f.u.: 0.000
Formation energy from raw total energies, meV/atom: -929

Cell: 5.288 7.739 8.609 Å, 101.37 90.00 90.00°
Fractional positions:
S1 0.263 0.294 0.043
Rb1 0.517 0.000 0.750
Ba1 0.798 0.500 0.250
Rb2 0.483 0.000 0.250
Ba2 0.202 0.500 0.750
Cd1 0.000 0.000 0.500
S2 0.737 0.294 0.543
S3 0.737 0.706 0.957
S4 0.263 0.706 0.457
Cd2 0.000 0.000 0.000

***

VASP calculation (PBE) on an optimized crystal structure of KRbAl2O.

## Properties
Total moment, μB/f.u.: 0.000
Formation energy from raw total energies, meV/atom: 789

Cell: 6.238 4.889 6.238 Å, 90.00 90.00 90.00°
Fractional positions:
Al1 0.500 0.000 0.000
Rb1 0.000 0.000 0.000
K1 0.500 0.500 0.500
Al2 0.000 0.000 0.500
O1 0.000 0.500 0.000

***

VASP calculation (PBE) on an optimized crystal structure of MgZr4Se.

## Properties
Total moment, μB/f.u.: 0.000
Formation energy from raw total energies, meV/atom: 294

Cell: 5.843 5.843 5.843 Å, 60.00 60.00 60.00°
Fractional positions:
Zr1 0.868 0.377 0.377
Zr2 0.377 0.868 0.377
Zr3 0.377 0.377 0.377
Zr4 0.377 0.377 0.868
Mg1 0.750 0.750 0.750
Se1 0.000 0.000 0.000

***

VASP calculation (PBE) on an optimized crystal structure of Sc2CrOs.

## Properties
Energy of formation from the pure elements, kJ per mole of atoms: -7.47
Total moment, μB/f.u.: 0.000

Cell: 2.978 2.978 8.188 Å, 90.00 90.00 90.01°
Fractional positions:
Os1 0.500 0.500 0.706
Cr1 0.000 0.000 0.542
Sc1 0.500 0.500 0.310
Sc2 0.000 0.000 0.942